1.
PBE Ta2CdAg, relaxed; energy of formation from the pure elements = 58 kJ/mol of atoms; total energy = -6.26 eV per atom
1.0
6.7069 0.0000 0.0000
0.0000 6.7069 0.0000
0.0000 0.0000 6.7069
Ta Cd Ag
8 4 4
Cartesian
0.0000 0.0000 0.0000 Ta
0.0000 3.3535 3.3535 Ta
1.6767 1.6767 1.6767 Ta
1.6767 5.0302 5.0302 Ta
3.3535 0.0000 3.3535 Ta
3.3535 3.3535 0.0000 Ta
5.0302 1.6767 5.0302 Ta
5.0302 5.0302 1.6767 Ta
1.6767 1.6767 5.0302 Cd
1.6767 5.0302 1.6767 Cd
5.0302 1.6767 1.6767 Cd
5.0302 5.0302 5.0302 Cd
0.0000 0.0000 3.3535 Ag
0.0000 3.3535 0.0000 Ag
3.3535 0.0000 0.0000 Ag
3.3535 3.3535 3.3535 Ag

=====

2.
PBE LiBOsW, relaxed; polymorph energy (0 for the lowest one) = 0.00 eV per formula unit; total energy = -7.90 eV per atom
1.0
5.7986 0.0000 0.0000
0.0000 5.7986 0.0000
0.0000 0.0000 5.7986
Li B Os W
4 4 4 4
Cartesian
0.0000 0.0000 0.0000 Li
0.0000 2.8993 2.8993 Li
2.8993 0.0000 2.8993 Li
2.8993 2.8993 0.0000 Li
1.4496 1.4496 4.3489 B
1.4496 4.3489 1.4496 B
4.3489 1.4496 1.4496 B
4.3489 4.3489 4.3489 B
0.0000 0.0000 2.8993 Os
0.0000 2.8993 0.0000 Os
2.8993 0.0000 0.0000 Os
2.8993 2.8993 2.8993 Os
1.4496 1.4496 1.4496 W
1.4496 4.3489 4.3489 W
4.3489 1.4496 4.3489 W
4.3489 4.3489 1.4496 W

=====

3.
PBE Tb2Os, relaxed; energy of formation from the pure elements = 111 kJ/mol of atoms; total energy = -5.68 eV per atom
1.0
0.0000 4.0883 4.0883
4.0883 0.0000 4.0883
4.0883 4.0883 0.0000
Tb Os
4 2
Cartesian
0.0000 0.0000 0.0000 Tb
2.0442 2.0442 0.0000 Tb
2.0442 0.0000 2.0442 Tb
0.0000 2.0442 2.0442 Tb
3.0663 3.0663 3.0663 Os
5.1104 5.1104 5.1104 Os

=====

4.
PBE CdFeTcAs, relaxed; polymorph energy (0 for the lowest one) = 0.00 eV per formula unit; total energy = -5.62 eV per atom
1.0
6.2271 0.0000 0.0000
0.0000 6.2271 0.0000
0.0000 0.0000 6.2271
Cd Fe Tc As
4 4 4 4
Cartesian
0.0000 0.0000 0.0000 Cd
0.0000 3.1135 3.1135 Cd
3.1135 0.0000 3.1135 Cd
3.1135 3.1135 0.0000 Cd
1.5568 1.5568 4.6703 Fe
1.5568 4.6703 1.5568 Fe
4.6703 1.5568 1.5568 Fe
4.6703 4.6703 4.6703 Fe
1.5568 1.5568 1.5568 Tc
1.5568 4.6703 4.6703 Tc
4.6703 1.5568 4.6703 Tc
4.6703 4.6703 1.5568 Tc
0.0000 0.0000 3.1135 As
0.0000 3.1135 0.0000 As
3.1135 0.0000 0.0000 As
3.1135 3.1135 3.1135 As